1.
VASP calculation (GGA-PBE) on a relaxed EuYHgAu crystal.

Cell lengths 5.2754, 5.2754, 5.2754 Å; angles 60.00, 60.00, 60.00 degrees
Last column: nearest neighbours and their distance in Å.
Sites, in units of the cell vectors:
Eu  0.5000  0.5000  0.5000  4 Au 3.23, 4 Hg 3.23
Au  0.7500  0.7500  0.7500  4 Y 3.23, 4 Eu 3.23
Hg  0.2500  0.2500  0.2500  4 Eu 3.23, 4 Y 3.23
Y  0.0000  0.0000  0.0000  4 Hg 3.23, 4 Au 3.23

Summary:
- raw total energy (eV/cell) = -22.82
- space group = No. 216
- formation energy from the elements (eV/atom) = -0.6262



2.
VASP calculation (GGA-PBE) on a relaxed TaTeBrN2 crystal.

Cell lengths 4.1136, 4.1136, 5.2604 Å; angles 90.00, 90.00, 90.00 degrees
Last column: nearest neighbours and their distance in Å.
Sites, in units of the cell vectors:
N  0.5000  0.0000  0.0000  2 Br 2.06
N  0.0000  0.5000  0.0000  2 Br 2.06
Ta  0.5000  0.5000  0.5000  4 Te 2.91
Br  0.0000  0.0000  0.0000  4 N 2.06
Te  0.0000  0.0000  0.5000  2 Br 2.63, 4 Ta 2.91

Summary:
- raw total energy (eV/cell) = -21.44
- space group = No. 123
- polymorph energy (0 for the lowest one) (meV/atom) = 2068



3.
VASP calculation (GGA-PBE) on a relaxed PmDy2Ru2 crystal.

Cell lengths 4.3788, 5.3262, 11.6086 Å; angles 109.17, 90.00, 90.00 degrees
Last column: nearest neighbours and their distance in Å.
Sites, in units of the cell vectors:
Ru  0.2500  0.3960  0.9859  2 Ru 2.43
Ru  0.7500  0.6040  0.0141  2 Ru 2.43
Ru  0.2500  0.8667  0.6396  5 Dy 2.82-3.00, 2 Pm 2.93
Ru  0.7500  0.1333  0.3604  5 Dy 2.82-3.00, 2 Pm 2.93
Dy  0.2500  0.8127  0.8770  5 Ru 2.86-3.12
Dy  0.7500  0.1873  0.1230  5 Ru 2.86-3.12
Dy  0.2500  0.2748  0.5226  4 Ru 2.82-3.00
Dy  0.7500  0.7252  0.4774  4 Ru 2.82-3.00
Pm  0.2500  0.7836  0.2367  3 Ru 2.93-2.97
Pm  0.7500  0.2164  0.7633  3 Ru 2.93-2.97

Summary:
- raw total energy (eV/cell) = -66.74
- space group = No. 11
- formation energy from the elements (eV/atom) = -0.1725
- polymorph energy (0 for the lowest one) (meV/atom) = 66



4.
VASP calculation (GGA-PBE) on a relaxed Cs5S crystal.

Cell lengths 9.5598, 9.5598, 13.6544 Å; angles 105.32, 110.53, 96.99 degrees
Last column: nearest neighbours and their distance in Å.
Sites, in units of the cell vectors:
Cs  0.7999  0.7109  0.0278  1 S 3.35
Cs  0.1830  0.7721  0.4722  1 S 3.35
Cs  0.8350  0.2234  0.1351  1 S 3.35
Cs  0.2001  0.2891  0.9722  1 S 3.35
Cs  0.1650  0.7766  0.8649  1 S 3.35
Cs  0.3069  0.0569  0.2500  2 S 3.49
Cs  0.5882  0.6999  0.3649  1 S 3.35
Cs  0.6931  0.9431  0.7500  2 S 3.49
Cs  0.8170  0.2279  0.5278  1 S 3.35
Cs  0.4118  0.3001  0.6351  1 S 3.35
S  0.5000  0.0000  0.5000  6 Cs 3.35-3.49
S  0.0000  0.0000  0.0000  6 Cs 3.35-3.49

Summary:
- raw total energy (eV/cell) = -22.59
- space group = No. 15
- polymorph energy (0 for the lowest one) (meV/atom) = 0



5.
VASP calculation (GGA-PBE) on a relaxed CsNaBi crystal.

Cell lengths 5.9213, 5.9115, 9.1980 Å; angles 118.08, 80.99, 106.08 degrees
Last column: nearest neighbours and their distance in Å.
Sites, in units of the cell vectors:
Cs  0.2381  0.1517  0.3537  2 Na 3.59-3.88, 1 Bi 3.86
Cs  0.7619  0.8483  0.6463  2 Na 3.59-3.88, 1 Bi 3.86
Bi  0.8497  0.4460  0.1471  4 Na 3.19-3.39, 1 Bi 3.22
Bi  0.1503  0.5540  0.8529  4 Na 3.19-3.39, 1 Bi 3.22
Na  0.3161  0.2030  0.9743  4 Bi 3.19-3.39, 1 Na 3.44
Na  0.6839  0.7970  0.0257  4 Bi 3.19-3.39, 1 Na 3.44

Summary:
- raw total energy (eV/cell) = -14.11
- space group = No. 2
- formation energy from the elements (eV/atom) = -0.3344
- polymorph energy (0 for the lowest one) (meV/atom) = 0



6.
VASP calculation (GGA-PBE) on a relaxed Pr2Ho12Er5 crystal.

Cell lengths 6.0781, 11.7732, 14.1526 Å; angles 141.66, 79.71, 106.68 degrees
Last column: nearest neighbours and their distance in Å.
Sites, in units of the cell vectors:
Ho  0.4894  0.8866  0.5531  4 Er 3.22-3.55, 3 Ho 3.37-3.44
Ho  0.0640  0.2148  0.3983  7 Ho 3.37-3.72, 4 Er 3.45-3.68, 1 Pr 3.50
Ho  0.3887  0.1620  0.9253  6 Ho 3.41-3.72, 3 Pr 3.46-3.63, 3 Er 3.52-3.63
Ho  0.1995  0.4716  0.7618  4 Er 3.39-3.65, 7 Ho 3.46-3.69, 1 Pr 3.52
Ho  0.9891  0.2645  0.8734  4 Er 3.40-3.71, 6 Ho 3.41-3.69, 1 Pr 3.58
Ho  0.9360  0.7852  0.6017  7 Ho 3.37-3.72, 4 Er 3.45-3.68, 1 Pr 3.50
Ho  0.6113  0.8380  0.0747  6 Ho 3.41-3.72, 3 Pr 3.46-3.63, 3 Er 3.52-3.63
Ho  0.7824  0.5756  0.7087  6 Ho 3.39-3.65, 4 Er 3.48-3.65, 2 Pr 3.53-3.58
Ho  0.0109  0.7355  0.1266  4 Er 3.40-3.71, 6 Ho 3.41-3.69, 1 Pr 3.58
Ho  0.2176  0.4244  0.2913  6 Ho 3.39-3.65, 4 Er 3.48-3.65, 2 Pr 3.53-3.58
Ho  0.8005  0.5284  0.2382  4 Er 3.39-3.65, 7 Ho 3.46-3.69, 1 Pr 3.52
Ho  0.5106  0.1134  0.4469  4 Er 3.22-3.55, 3 Ho 3.37-3.44
Er  0.4023  0.6383  0.1880  10 Ho 3.40-3.71, 1 Er 3.62
Er  0.5977  0.3617  0.8120  10 Ho 3.40-3.71, 1 Er 3.62
Er  0.3605  0.6805  0.6550  9 Ho 3.45-3.63, 1 Er 3.52, 2 Pr 3.53-3.62
Er  0.6395  0.3195  0.3450  9 Ho 3.45-3.63, 1 Er 3.52, 2 Pr 3.53-3.62
Er  0.0000  0.0000  0.5000  6 Ho 3.22-3.44
Pr  0.7937  0.0529  0.9733  8 Ho 3.46-3.63, 2 Pr 3.51-3.58, 2 Er 3.53-3.62
Pr  0.2063  0.9471  0.0267  8 Ho 3.46-3.63, 2 Pr 3.51-3.58, 2 Er 3.53-3.62

Summary:
- raw total energy (eV/cell) = -86.25
- space group = No. 2
- formation energy from the elements (eV/atom) = 0.0556
- polymorph energy (0 for the lowest one) (meV/atom) = 0



7.
VASP calculation (GGA-PBE) on a relaxed NaIn3Bi3 crystal.

Cell lengths 8.6374, 8.6374, 8.9204 Å; angles 61.04, 61.04, 60.00 degrees
Last column: nearest neighbours and their distance in Å.
Sites, in units of the cell vectors:
Bi  0.7518  0.3894  0.7857  4 In 3.07-3.16, 2 Na 3.34-3.35
Bi  0.2482  0.6106  0.2143  4 In 3.07-3.16, 2 Na 3.34-3.35
Bi  0.3894  0.0730  0.7857  4 In 3.07-3.16, 2 Na 3.34-3.35
Bi  0.0730  0.7518  0.7857  4 In 3.07-3.16, 2 Na 3.34-3.35
Bi  0.9270  0.2482  0.2143  4 In 3.07-3.16, 2 Na 3.34-3.35
Bi  0.6106  0.9270  0.2143  4 In 3.07-3.16, 2 Na 3.34-3.35
In  0.4688  0.7729  0.6417  4 Bi 3.07-3.16
In  0.2271  0.8834  0.3583  4 Bi 3.07-3.16
In  0.1166  0.4688  0.6417  4 Bi 3.07-3.16
In  0.5312  0.2271  0.3583  4 Bi 3.07-3.16
In  0.8834  0.5312  0.3583  4 Bi 3.07-3.16
In  0.7729  0.1166  0.6417  4 Bi 3.07-3.16
Na  0.6669  0.6669  0.9993  6 Bi 3.34-3.35
Na  0.3331  0.3331  0.0007  6 Bi 3.34-3.35

Summary:
- raw total energy (eV/cell) = -42.97
- space group = No. 148
- formation energy from the elements (eV/atom) = -0.0438
- polymorph energy (0 for the lowest one) (meV/atom) = 0



8.
VASP calculation (GGA-PBE) on a relaxed TlGa2Au5 crystal.

Cell lengths 4.0577, 6.8219, 6.8219 Å; angles 68.08, 72.70, 72.70 degrees
Last column: nearest neighbours and their distance in Å.
Sites, in units of the cell vectors:
Au  0.6451  0.1598  0.5500  3 Ga 2.55-2.77
Au  0.6451  0.5500  0.1598  3 Ga 2.55-2.77
Au  0.3549  0.4500  0.8402  3 Ga 2.55-2.77
Au  0.0000  0.5000  0.5000  2 Ga 2.70, 8 Au 2.95
Au  0.3549  0.8402  0.4500  3 Ga 2.55-2.77
Ga  0.2556  0.2444  0.2444  7 Au 2.55-2.77
Ga  0.7444  0.7556  0.7556  7 Au 2.55-2.77
Tl  0.0000  0.0000  0.0000  4 Ga 3.28, 8 Au 3.45

Summary:
- raw total energy (eV/cell) = -25.52
- space group = No. 71
- formation energy from the elements (eV/atom) = -0.0886



9.
VASP calculation (GGA-PBE) on a relaxed CdPWS2 crystal.

Cell lengths 4.8609, 4.8609, 4.8486 Å; angles 90.00, 90.00, 90.00 degrees
Last column: nearest neighbours and their distance in Å.
Sites, in units of the cell vectors:
Cd  0.0000  0.0000  0.0000  2 P 2.42, 4 S 2.43
W  0.5000  0.5000  0.5000  8 S 3.43, 4 P 3.44
S  0.0000  0.5000  0.0000  2 Cd 2.43
S  0.5000  0.0000  0.0000  2 Cd 2.43
P  0.0000  0.0000  0.5000  2 Cd 2.42

Summary:
- raw total energy (eV/cell) = -19.07
- space group = No. 123
- polymorph energy (0 for the lowest one) (meV/atom) = 1508



10.
VASP calculation (GGA-PBE) on a relaxed CsZn2Ge crystal.

Cell lengths 4.5188, 4.5188, 7.1887 Å; angles 71.68, 71.68, 60.00 degrees
Last column: nearest neighbours and their distance in Å.
Sites, in units of the cell vectors:
Zn  0.3068  0.3068  0.0797  3 Ge 2.66, 3 Zn 2.82
Zn  0.6932  0.6932  0.9203  3 Ge 2.66, 3 Zn 2.82
Cs  0.5000  0.5000  0.5000  8 Zn 3.84-3.88, 6 Ge 4.25
Ge  0.0000  0.0000  0.0000  6 Zn 2.66

Summary:
- raw total energy (eV/cell) = -7.96
- space group = No. 166
- formation energy from the elements (eV/atom) = 0.0157



One value per record, in order, for M_tot: 7.21, 0.97, 0.00, 0.00, 0.00, 0.00, 0.00, 0.00, 2.20, 0.00 μB/f.u..